<a>
Compound: TaTlAsBr2
Source: Alexandria
Functional: PBE-GGA
Structure: optimized geometry

- Theoretical density: 6.30 Mg/m³
- Symmetry: P4/mmm, No. 123

abc: 5.4744 5.4744 5.4542
angles: 90.00 90.00 90.00
Element x y z (fractional)
Ta 0.0000 0.0000 0.0000
Tl 0.5000 0.5000 0.5000
As 0.5000 0.5000 0.0000
Br 0.0000 0.5000 0.5000
Br 0.5000 0.0000 0.5000

***

<b>
Compound: TaTlAsBr2
Source: Alexandria
Functional: PBE-GGA
Structure: optimized geometry

- Theoretical density: 7.28 Mg/m³
- Symmetry: P4/mmm, No. 123

abc: 5.2943 5.2943 5.0475
angles: 90.00 90.00 90.00
Element x y z (fractional)
Ta 0.0000 0.0000 0.0000
Tl 0.5000 0.5000 0.5000
As 0.0000 0.0000 0.5000
Br 0.0000 0.5000 0.0000
Br 0.5000 0.0000 0.0000

***

Stability ranking, top and bottom: <b> is the most stable and <a> is the least stable.

***

<a>
Compound: TaTlAs2Br
Source: Alexandria
Functional: PBE-GGA
Structure: optimized geometry

- Theoretical density: 7.41 Mg/m³
- Symmetry: P4/mmm, No. 123

abc: 5.0113 5.0113 5.4914
angles: 90.00 90.00 90.00
Element x y z (fractional)
Ta 0.0000 0.0000 0.0000
Tl 0.5000 0.5000 0.5000
As 0.0000 0.5000 0.0000
As 0.5000 0.0000 0.0000
Br 0.0000 0.0000 0.5000

***

<b>
Compound: TaTlAs2Br
Source: Alexandria
Functional: PBE-GGA
Structure: optimized geometry

- Theoretical density: 6.94 Mg/m³
- Symmetry: P4/mmm, No. 123

abc: 5.2106 5.2106 5.4177
angles: 90.00 90.00 90.00
Element x y z (fractional)
Ta 0.0000 0.0000 0.0000
Tl 0.5000 0.5000 0.5000
As 0.0000 0.5000 0.5000
As 0.5000 0.0000 0.5000
Br 0.5000 0.5000 0.0000

***

Stability ranking, top and bottom: <a> is the most stable and <b> is the least stable.

***

<a>
Compound: TaVAsBr2
Source: Alexandria
Functional: PBE-GGA
Structure: optimized geometry

- Theoretical density: 6.45 Mg/m³
- Symmetry: P4/mmm, No. 123

abc: 4.8500 4.8500 5.1072
angles: 90.00 90.00 90.00
Element x y z (fractional)
Ta 0.0000 0.0000 0.0000
V 0.5000 0.5000 0.5000
As 0.5000 0.5000 0.0000
Br 0.0000 0.5000 0.5000
Br 0.5000 0.0000 0.5000

***

<b>
Compound: TaVAsBr2
Source: Alexandria
Functional: PBE-GGA
Structure: optimized geometry

- Theoretical density: 5.81 Mg/m³
- Symmetry: P4/mmm, No. 123

abc: 5.1029 5.1029 5.1216
angles: 90.00 90.00 90.00
Element x y z (fractional)
Ta 0.0000 0.0000 0.0000
V 0.5000 0.5000 0.5000
As 0.0000 0.0000 0.5000
Br 0.0000 0.5000 0.0000
Br 0.5000 0.0000 0.0000

***

Stability ranking, top and bottom: <b> is the most stable and <a> is the least stable.